Entry 1:
The following is a DFT calculation (PBE) of a relaxed structure of Si2AgOs.

a = 5.004 Å, b = 5.004 Å, c = 5.004 Å
α = 144.63°, β = 120.46°, γ = 71.19°
Element x y z (fractional)
Ag (0.750, 0.250, 0.500)
Os (0.250, 0.750, 0.500)
Si (0.015, 0.015, 0.000)
Si (0.485, 0.485, 0.000)

Properties
E_form (uncorrected): 0.43 eV per atom
E_tot: -5.80 eV/atom
energy above the lowest structure with this stoichiometry: 399 meV/atom
Fermi-level density of states: 0.61 states/eV per atom



Entry 2:
The following is a DFT calculation (PBE) of a relaxed structure of TiInHg2H.

a = 5.584 Å, b = 3.436 Å, c = 5.584 Å
α = 90.00°, β = 90.00°, γ = 90.00°
Each line ends with the local moment (μB).
Element x y z (fractional)
H (0.000, 0.500, 0.000)  0.00
Ti (0.500, 0.500, 0.500)  1.45
Hg (0.000, 0.000, 0.500)  0.00
Hg (0.500, 0.000, 0.000)  0.01
In (0.000, 0.000, 0.000)  -0.04

Properties
E_tot: -2.41 eV/atom
Fermi-level density of states: 0.62 states/eV per atom



Entry 3:
The following is a DFT calculation (PBE) of a relaxed structure of AcPrScAg.

a = 5.488 Å, b = 5.488 Å, c = 5.488 Å
α = 60.00°, β = 60.00°, γ = 60.00°
Each line ends with the local moment (μB).
Element x y z (fractional)
Pr (0.000, 0.000, 0.000)  0.19
Sc (0.500, 0.500, 0.500)  0.48
Ac (0.750, 0.750, 0.750)  0.28
Ag (0.250, 0.250, 0.250)  0.02

Properties
ΔE_f: 75 kJ/mol of formula units
E_tot: -4.32 eV/atom
Fermi-level density of states: 1.47 states/eV per atom



Entry 4:
The following is a DFT calculation (PBE) of a relaxed structure of Pr6BiSb2Te3.

a = 4.563 Å, b = 9.125 Å, c = 10.218 Å
α = 103.02°, β = 102.90°, γ = 90.00°
Element x y z (fractional)
Pr (0.333, 0.909, 0.665)
Pr (0.669, 0.578, 0.338)
Pr (0.667, 0.091, 0.335)
Pr (0.003, 0.251, 0.006)
Pr (0.997, 0.749, 0.994)
Pr (0.331, 0.422, 0.662)
Bi (0.500, 0.000, 0.000)
Sb (0.833, 0.667, 0.666)
Sb (0.167, 0.333, 0.334)
Te (0.500, 0.500, 0.000)
Te (0.835, 0.167, 0.669)
Te (0.165, 0.833, 0.331)

Properties
E_form (uncorrected): -1.31 eV per atom
E_tot: -5.50 eV/atom
Fermi-level density of states: 0.45 states/eV per atom



Entry 5:
The following is a DFT calculation (PBE) of a relaxed structure of La2Sm8Ho.

a = 6.842 Å, b = 10.339 Å, c = 10.339 Å
α = 38.50°, β = 59.38°, γ = 59.38°
Element x y z (fractional)
La (0.593, 0.803, 0.803)
La (0.407, 0.197, 0.197)
Sm (0.230, 0.350, 0.824)
Sm (0.770, 0.176, 0.650)
Sm (0.178, 0.757, 0.757)
Sm (0.822, 0.243, 0.243)
Sm (0.230, 0.824, 0.350)
Sm (0.770, 0.650, 0.176)
Sm (0.734, 0.589, 0.589)
Sm (0.266, 0.411, 0.411)
Ho (0.000, 0.000, 0.000)

Properties
ΔE_f: 157 kJ/mol of formula units
E_tot: -4.60 eV/atom
energy above the lowest structure with this stoichiometry: 127 meV/atom
Fermi-level density of states: 1.60 states/eV per atom



Entry 6:
The following is a DFT calculation (PBE) of a relaxed structure of Mg2Ge4Ir5.

a = 5.626 Å, b = 5.532 Å, c = 7.957 Å
α = 79.64°, β = 69.30°, γ = 59.44°
Element x y z (fractional)
Mg (0.902, 0.000, 0.196)
Mg (0.098, 0.000, 0.804)
Ge (0.474, 0.315, 0.738)
Ge (0.526, 0.685, 0.262)
Ge (0.211, 0.315, 0.262)
Ge (0.789, 0.685, 0.738)
Ir (0.500, 0.000, 0.000)
Ir (0.000, 0.500, 0.000)
Ir (0.500, 0.500, 0.000)
Ir (0.250, 0.500, 0.500)
Ir (0.750, 0.500, 0.500)

Properties
ΔE_f: -232 kJ/mol of formula units
E_tot: -6.22 eV/atom
Fermi-level density of states: 0.30 states/eV per atom



Entry 7:
The following is a DFT calculation (PBE) of a relaxed structure of MnVMo.

a = 3.845 Å, b = 3.845 Å, c = 5.845 Å
α = 80.23°, β = 80.23°, γ = 89.83°
Element x y z (fractional)
Mo (0.680, 0.680, 0.310)
Mo (0.320, 0.320, 0.690)
V (0.821, 0.821, 0.736)
V (0.179, 0.179, 0.264)
Mn (0.748, 0.252, 0.000)
Mn (0.252, 0.748, 0.000)

Properties
ΔE_f: 89 kJ/mol of formula units
E_tot: -9.40 eV/atom
energy above the lowest structure with this stoichiometry: 372 meV/atom
Fermi-level density of states: 1.21 states/eV per atom



Entry 8:
The following is a DFT calculation (PBE) of a relaxed structure of OsRu.

a = 2.715 Å, b = 4.702 Å, c = 4.698 Å
α = 99.59°, β = 90.00°, γ = 106.78°
Element x y z (fractional)
Os (0.251, 0.501, 0.751)
Os (0.999, 0.999, 0.999)
Ru (0.501, 0.002, 0.501)
Ru (0.749, 0.498, 0.249)

Properties
ΔE_f: 21 kJ/mol of formula units
E_tot: -10.14 eV/atom
Fermi-level density of states: 0.93 states/eV per atom



Entry 9:
The following is a DFT calculation (PBE) of a relaxed structure of Mg2TlGaPt.

a = 5.108 Å, b = 5.108 Å, c = 4.796 Å
α = 90.00°, β = 90.00°, γ = 90.00°
Element x y z (fractional)
Mg (0.000, 0.500, 0.000)
Mg (0.500, 0.000, 0.000)
Tl (0.500, 0.500, 0.500)
Ga (0.000, 0.000, 0.500)
Pt (0.000, 0.000, 0.000)

Properties
ΔE_f: -165 kJ/mol of formula units
E_tot: -3.27 eV/atom
Fermi-level density of states: 0.39 states/eV per atom



Entry 10:
The following is a DFT calculation (PBE) of a relaxed structure of BeFeCo2.

a = 4.450 Å, b = 4.562 Å, c = 2.429 Å
α = 78.19°, β = 82.75°, γ = 117.01°
Each line ends with the local moment (μB).
Element x y z (fractional)
Be (0.500, 0.500, 0.000)  -0.07
Co (0.000, 0.000, 0.000)  1.48
Co (0.500, 0.000, 0.500)  1.48
Fe (0.000, 0.500, 0.500)  2.39

Properties
ΔE_f: -11 kJ/mol of formula units
E_tot: -6.63 eV/atom
Fermi-level density of states: 0.92 states/eV per atom



Entry 11:
The following is a DFT calculation (PBE) of a relaxed structure of Sm3Co2Ge3.

a = 4.198 Å, b = 5.784 Å, c = 14.290 Å
α = 90.00°, β = 90.00°, γ = 111.28°
Element x y z (fractional)
Sm (0.920, 0.841, 0.392)
Sm (0.080, 0.159, 0.892)
Sm (0.920, 0.841, 0.108)
Sm (0.080, 0.159, 0.608)
Sm (0.641, 0.283, 0.250)
Sm (0.359, 0.717, 0.750)
Co (0.790, 0.580, 0.902)
Co (0.210, 0.420, 0.402)
Co (0.790, 0.580, 0.598)
Co (0.210, 0.420, 0.098)
Ge (0.638, 0.276, 0.461)
Ge (0.362, 0.724, 0.961)
Ge (0.638, 0.276, 0.039)
Ge (0.362, 0.724, 0.539)
Ge (0.337, 0.673, 0.250)
Ge (0.663, 0.327, 0.750)

Properties
ΔE_f: -512 kJ/mol of formula units
E_tot: -5.94 eV/atom
Fermi-level density of states: 0.84 states/eV per atom



Entry 12:
The following is a DFT calculation (PBE) of a relaxed structure of Ac6CdPt4.

a = 4.396 Å, b = 7.713 Å, c = 22.720 Å
α = 90.00°, β = 90.00°, γ = 106.56°
Element x y z (fractional)
Ac (0.500, 0.000, 0.000)
Ac (0.500, 0.000, 0.500)
Ac (0.039, 0.078, 0.344)
Ac (0.961, 0.922, 0.656)
Ac (0.961, 0.922, 0.844)
Ac (0.039, 0.078, 0.156)
Ac (0.771, 0.542, 0.418)
Ac (0.229, 0.458, 0.582)
Ac (0.229, 0.458, 0.918)
Ac (0.771, 0.542, 0.082)
Ac (0.335, 0.669, 0.250)
Ac (0.665, 0.331, 0.750)
Cd (0.657, 0.315, 0.250)
Cd (0.343, 0.685, 0.750)
Pt (0.863, 0.726, 0.541)
Pt (0.406, 0.812, 0.125)
Pt (0.137, 0.274, 0.459)
Pt (0.594, 0.188, 0.875)
Pt (0.863, 0.726, 0.959)
Pt (0.137, 0.274, 0.041)
Pt (0.594, 0.188, 0.625)
Pt (0.406, 0.812, 0.375)

Properties
ΔE_f: -987 kJ/mol of formula units
E_tot: -5.45 eV/atom
Fermi-level density of states: 0.63 states/eV per atom